<one>
Here is CeBi2Sb after structural relaxation from Alexandria via LeMat-Bulk. Energies are from PBE-GGA.

## Properties
- DOS at the Fermi energy: 7.3 states/eV per cell
- Space-group type: R-3m (166)
- Theoretical density: 8.98 Mg/m³

a b c (Å): 3.398 3.398 12.728
angles (deg): 82.33 82.33 60.00
Sites, in units of the cell vectors:
Bi1 0.087 0.087 0.739
Bi2 0.913 0.913 0.261
Sb1 0.500 0.500 0.500
Ce1 0.000 0.000 0.000


<two>
Here is CeBi2Sb after structural relaxation from Alexandria via LeMat-Bulk. Energies are from PBE-GGA.

## Properties
- DOS at the Fermi energy: 7.1 states/eV per cell
- Space-group type: P4/mmm (123)
- Theoretical density: 9.19 Mg/m³

a b c (Å): 4.420 4.420 6.286
angles (deg): 90.00 90.00 90.00
Sites, in units of the cell vectors:
Bi1 0.000 0.000 0.251
Bi2 0.000 0.000 0.749
Sb1 0.500 0.500 0.000
Ce1 0.500 0.500 0.500


Of all the structures shown, which is most stable? <two>, and <one> is the least stable.